1.
Density functional theory data (PBE) for a geometry-optimized SmInAsO structure.

## Properties
Symmetry = No. 26

Geometry as POSCAR:
```
SmInAsO
1.0
4.176 0.000 0.000
0.000 7.680 0.000
0.000 0.000 6.036
Sm In As O
2 2 2 2
Direct
0.000 0.193 0.000
0.000 0.807 0.500
0.500 0.392 0.584
0.500 0.608 0.084
0.000 0.185 0.493
0.000 0.815 0.993
0.500 0.313 0.972
0.500 0.687 0.472
```

2.
Density functional theory data (PBE) for a geometry-optimized SmInAsO structure.

## Properties
Symmetry = No. 26

Geometry as POSCAR:
```
SmInAsO
1.0
5.171 0.000 0.000
0.000 5.458 0.000
0.000 0.000 6.524
Sm In As O
2 2 2 2
Direct
0.000 0.193 0.000
0.000 0.807 0.500
0.500 0.242 0.356
0.500 0.758 0.856
0.500 0.266 0.768
0.500 0.734 0.268
0.000 0.160 0.341
0.000 0.840 0.841
```

3.
Density functional theory data (PBE) for a geometry-optimized SmInAsO structure.

## Properties
Symmetry = No. 129

Geometry as POSCAR:
```
SmInAsO
1.0
4.509 0.000 0.000
0.000 4.509 0.000
0.000 0.000 8.388
Sm In As O
2 2 2 2
Direct
0.250 0.750 0.000
0.750 0.250 0.000
0.250 0.250 0.415
0.750 0.750 0.585
0.250 0.250 0.789
0.750 0.750 0.211
0.250 0.750 0.500
0.750 0.250 0.500
```

4.
Density functional theory data (PBE) for a geometry-optimized SmInAsO structure.

## Properties
Symmetry = No. 129

Geometry as POSCAR:
```
SmInAsO
1.0
4.164 0.000 0.000
0.000 4.164 0.000
0.000 0.000 9.845
Sm In As O
2 2 2 2
Direct
0.250 0.250 0.109
0.750 0.750 0.891
0.250 0.750 0.500
0.750 0.250 0.500
0.250 0.250 0.716
0.750 0.750 0.284
0.250 0.750 0.000
0.750 0.250 0.000
```

5.
Density functional theory data (PBE) for a geometry-optimized TaInAsO structure.

## Properties
Symmetry = No. 129

Geometry as POSCAR:
```
TaInAsO
1.0
3.703 0.000 0.000
0.000 3.703 0.000
0.000 0.000 10.233
Ta In As O
2 2 2 2
Direct
0.250 0.250 0.112
0.750 0.750 0.888
0.250 0.750 0.500
0.750 0.250 0.500
0.250 0.250 0.761
0.750 0.750 0.239
0.250 0.750 0.000
0.750 0.250 0.000
```

6.
Density functional theory data (PBE) for a geometry-optimized TaInAsO structure.

## Properties
Symmetry = No. 26

Geometry as POSCAR:
```
TaInAsO
1.0
3.396 0.000 0.000
0.000 6.987 0.000
0.000 0.000 7.362
Ta In As O
2 2 2 2
Direct
0.000 0.073 0.000
0.000 0.927 0.500
0.500 0.291 0.569
0.500 0.709 0.069
0.500 0.344 0.946
0.500 0.656 0.446
0.000 0.043 0.260
0.000 0.957 0.760
```

7.
Density functional theory data (PBE) for a geometry-optimized TaInAsO structure.

## Properties
Symmetry = No. 129

Geometry as POSCAR:
```
TaInAsO
1.0
4.044 0.000 0.000
0.000 4.044 0.000
0.000 0.000 8.247
Ta In As O
2 2 2 2
Direct
0.250 0.750 0.000
0.750 0.250 0.000
0.250 0.250 0.379
0.750 0.750 0.621
0.250 0.250 0.791
0.750 0.750 0.209
0.250 0.750 0.500
0.750 0.250 0.500
```

8.
Density functional theory data (PBE) for a geometry-optimized TaInAsO structure.

## Properties
Symmetry = No. 26

Geometry as POSCAR:
```
TaInAsO
1.0
3.834 0.000 0.000
0.000 8.435 0.000
0.000 0.000 5.147
Ta In As O
2 2 2 2
Direct
0.000 0.112 0.000
0.000 0.888 0.500
0.500 0.423 0.569
0.500 0.577 0.069
0.000 0.193 0.498
0.000 0.807 0.998
0.500 0.152 0.003
0.500 0.848 0.503
```

Number 1: energy relative to the lowest polymorph listed for this composition 188 meV per atom. Number 2: energy relative to the lowest polymorph listed for this composition 148 meV per atom. Number 3: energy relative to the lowest polymorph listed for this composition 873 meV per atom. Number 4: energy relative to the lowest polymorph listed for this composition 0 meV per atom. Number 5: energy relative to the lowest polymorph listed for this composition 357 meV per atom. Number 6: energy relative to the lowest polymorph listed for this composition 45 meV per atom. Number 7: energy relative to the lowest polymorph listed for this composition 383 meV per atom. Number 8: energy relative to the lowest polymorph listed for this composition 0 meV per atom.